# 1
CaSm2Eu | GGA-PBE | optimized geometry

Values from the calculation:
ΔE_f (eV per atom): 0.15
Volume (A^3/atom): 36.76
Spin magnetization (μB/f.u.): 7.47
ΔE to the lowest computed polymorph (meV/atom): 30.0

Lattice parameters (Å, degrees): 5.9484 5.9484 4.1560 90.00 90.00 90.00
Closest atoms and distances in Å follow each position.
Space group P4/mmm (No. 123)
Unique sites:
Ca  0.0000  0.0000  0.0000 [1 per cell]  8 Sm 3.63
Sm  0.0000  0.5000  0.5000 [2 per cell]  4 Ca 3.63, 4 Eu 3.63
Eu  0.5000  0.5000  0.0000 [1 per cell]  8 Sm 3.63

=====

# 2
Cd2CoPd2 | GGA-PBE | optimized geometry

Values from the calculation:
ΔE_f (eV per atom): 0.35
Volume (A^3/atom): 18.85
Spin magnetization (μB/f.u.): 1.48
ΔE to the lowest computed polymorph (meV/atom): 345.8

Lattice parameters (Å, degrees): 3.6866 3.6866 13.8673 90.00 90.00 90.00
Closest atoms and distances in Å follow each position.
Space group I4/mmm (No. 139)
Unique sites:
Cd  0.0000  0.0000  0.0985 [4 per cell]  1 Cd 2.73, 4 Pd 2.80, 4 Co 2.94
Co  0.0000  0.0000  0.5000 [2 per cell]  8 Cd 2.94
Pd  0.0000  0.5000  0.2500 [4 per cell]  4 Pd 2.61, 4 Cd 2.80

=====

# 3
Al2TcBr | GGA-PBE | optimized geometry

Values from the calculation:
Volume (A^3/atom): 23.02
Spin magnetization (μB/f.u.): 0.00
ΔE to the lowest computed polymorph (meV/atom): 78.6

Lattice parameters (Å, degrees): 3.3453 3.5175 7.8341 90.00 92.73 90.00
Closest atoms and distances in Å follow each position.
Space group Pm (No. 6)
Unique sites:
Al  0.0000  0.0000  0.0000 [1 per cell]  4 Tc 2.49
Al  0.0344  0.5000  0.3111 [1 per cell]  2 Br 2.51, 2 Tc 2.52
Tc  0.5077  0.5000  0.0695 [1 per cell]  6 Al 2.49-2.52
Br  0.0616  0.0000  0.5402 [1 per cell]  2 Al 2.51

=====

# 4
RbTe2HS | GGA-PBE | optimized geometry

Values from the calculation:
Energy (eV per cell): -13.73
Volume (A^3/atom): 27.93
Spin magnetization (μB/f.u.): 1.28

Lattice parameters (Å, degrees): 4.5354 4.5354 6.7892 90.00 90.00 90.00
Closest atoms and distances in Å follow each position.
Space group P4/mmm (No. 123)
Unique sites:
Rb  0.0000  0.0000  0.0000 [1 per cell]  4 S 3.21, 2 H 3.39
Te  0.0000  0.5000  0.5000 [2 per cell]  2 H 2.27
H  0.0000  0.0000  0.5000 [1 per cell]  4 Te 2.27
S  0.5000  0.5000  0.0000 [1 per cell]  4 Rb 3.21

=====

# 5
LiLa2Pa | GGA-PBE | optimized geometry

Values from the calculation:
ΔE_f (eV per atom): 0.12
Volume (A^3/atom): 29.11
Spin magnetization (μB/f.u.): 0.00
ΔE to the lowest computed polymorph (meV/atom): 0.0

Lattice parameters (Å, degrees): 3.4632 3.4632 9.7087 90.00 90.00 90.00
Closest atoms and distances in Å follow each position.
Space group P4/mmm (No. 123)
Unique sites:
Li  0.0000  0.0000  0.0000 [1 per cell]  4 Li 3.46, 8 La 3.49
La  0.5000  0.5000  0.2567 [2 per cell]  4 Pa 3.40, 4 La 3.46, 4 Li 3.49
Pa  0.0000  0.0000  0.5000 [1 per cell]  8 La 3.40, 4 Pa 3.46

=====

# 6
Nd4Dy3Tm | GGA-PBE | optimized geometry

Values from the calculation:
ΔE_f (eV per atom): 0.16
Volume (A^3/atom): 33.68
Spin magnetization (μB/f.u.): 0.00
ΔE to the lowest computed polymorph (meV/atom): 136.6

Lattice parameters (Å, degrees): 23.5849 3.4976 6.8184 90.00 106.63 90.00
Closest atoms and distances in Å follow each position.
Space group C2/m (No. 12)
Unique sites:
Nd  0.1233  0.0000  0.3683 [4 per cell]  3 Dy 3.28-3.51, 5 Nd 3.50-3.60
Nd  0.2405  0.5000  0.2351 [4 per cell]  7 Nd 3.50-3.79, 3 Dy 3.56-3.58
Dy  0.0000  0.0000  0.5000 [2 per cell]  4 Dy 3.28-3.50, 2 Nd 3.28
Dy  0.1218  0.0000  0.8820 [4 per cell]  3 Dy 3.28-3.50, 5 Nd 3.31-3.58, 2 Tm 3.64
Tm  0.0000  0.5000  0.0000 [2 per cell]  2 Tm 3.50, 8 Dy 3.64-3.83, 4 Nd 3.69